Crystalline Te2OsRh at its relaxed geometry. Source: Alexandria via LeMat-Bulk, functional GGA-PBE.

Summary:
Space group: P4/mmm
Spin magnetization: 0.00 Bohr magnetons per cell
Uncorrected formation energy: 0.48 eV per atom
Density of states at the Fermi level: 4.845 states/eV/cell
Excess energy over the best structure of this formula in the dataset: 2.02 eV/f.u.

Cell: 3.294 3.294 6.884 Å, 90.00 90.00 90.00°
Fractional positions:
Te 0.000 0.000 0.750
Te 0.000 0.000 0.250
Os 0.500 0.500 0.000
Rh 0.500 0.500 0.500

Crystalline TlBi3Pb3 at its relaxed geometry. Source: Alexandria via LeMat-Bulk, functional GGA-PBE.

Summary:
ΔH_f (0 K): 0.04 eV per atom
Space group: C2/m
Spin magnetization: 0.00 Bohr magnetons per cell
Density of states at the Fermi level: 7.226 states/eV/cell
Excess energy over the best structure of this formula in the dataset: 0.01 eV/f.u.

Cell: 7.163 7.163 9.388 Å, 89.98 89.98 93.09°
Fractional positions:
Tl 0.288 0.288 0.999
Tl 0.712 0.712 0.001
Bi 0.999 0.999 0.748
Bi 0.500 0.000 0.252
Bi 0.000 0.500 0.252
Bi 0.500 0.000 0.748
Bi 0.000 0.500 0.748
Bi 0.001 0.001 0.252
Pb 0.252 0.252 0.501
Pb 0.266 0.734 0.500
Pb 0.734 0.266 0.500
Pb 0.235 0.765 0.000
Pb 0.765 0.235 0.000
Pb 0.748 0.748 0.499

Repeat the second record exactly.
Crystalline TlBi3Pb3 at its relaxed geometry. Source: Alexandria via LeMat-Bulk, functional GGA-PBE.

Summary:
ΔH_f (0 K): 0.04 eV per atom
Space group: C2/m
Spin magnetization: 0.00 Bohr magnetons per cell
Density of states at the Fermi level: 7.226 states/eV/cell
Excess energy over the best structure of this formula in the dataset: 0.01 eV/f.u.

Cell: 7.163 7.163 9.388 Å, 89.98 89.98 93.09°
Fractional positions:
Tl 0.288 0.288 0.999
Tl 0.712 0.712 0.001
Bi 0.999 0.999 0.748
Bi 0.500 0.000 0.252
Bi 0.000 0.500 0.252
Bi 0.500 0.000 0.748
Bi 0.000 0.500 0.748
Bi 0.001 0.001 0.252
Pb 0.252 0.252 0.501
Pb 0.266 0.734 0.500
Pb 0.734 0.266 0.500
Pb 0.235 0.765 0.000
Pb 0.765 0.235 0.000
Pb 0.748 0.748 0.499